Ca4PSeN | PBE | optimized geometry

Summary:
size of the total moment: 0.00 μB/cell
energy relative to the elements, uncorrected: -1.30 eV/atom
space-group type: Cmcm
E: -4.901 eV per atom

a b c (Å): 6.573 6.579 8.173
angles (deg): 90.00 113.71 90.00
Fractional coordinates of all 14 atoms:
Se  0.392  0.250  0.784
Se  0.608  0.750  0.216
Ca  0.000  0.000  0.500
Ca  0.589  0.250  0.178
Ca  0.000  0.500  0.500
Ca  0.500  0.500  0.500
Ca  0.411  0.750  0.822
Ca  0.920  0.250  0.839
Ca  0.500  0.000  0.500
Ca  0.080  0.750  0.161
N  0.252  0.750  0.503
N  0.748  0.250  0.497
P  0.113  0.250  0.225
P  0.887  0.750  0.775

LuScCuPb | PBE | optimized geometry

Summary:
size of the total moment: 0.54 μB/cell
space-group type: F-43m
formation enthalpy at 0 K: -23.9 kJ per mole of atoms
E: -4.912 eV per atom

a b c (Å): 5.009 5.009 5.009
angles (deg): 60.00 60.00 60.00
Site moments in Bohr magnetons follow the coordinates.
Fractional coordinates of all 4 atoms:
Pb  0.500  0.500  0.500  0.01
Sc  0.250  0.250  0.250  -0.23
Cu  0.000  0.000  0.000  -0.02
Lu  0.750  0.750  0.750  -0.12

Pm2SmEr | PBE | optimized geometry

Summary:
size of the total moment: 0.00 μB/cell
space-group type: Pmmn
formation enthalpy at 0 K: 2.4 kJ per mole of atoms
E: -4.671 eV per atom
distance to the lowest polymorph of the same formula: 0.010 eV/atom

a b c (Å): 5.788 7.344 6.335
angles (deg): 90.00 90.00 90.00
Fractional coordinates of all 8 atoms:
Er  0.750  0.250  0.334
Er  0.250  0.750  0.666
Sm  0.750  0.750  0.335
Sm  0.250  0.250  0.665
Pm  0.250  0.001  0.167
Pm  0.750  0.501  0.833
Pm  0.750  0.999  0.833
Pm  0.250  0.499  0.167

NaAs2RuBr | PBE | optimized geometry

Summary:
size of the total moment: 2.28 μB/cell
energy relative to the elements, uncorrected: 1.40 eV/atom
space-group type: P4/mmm
E: -2.916 eV per atom
distance to the lowest polymorph of the same formula: 1.455 eV/atom

a b c (Å): 5.028 5.028 5.073
angles (deg): 90.00 90.00 90.00
Site moments in Bohr magnetons follow the coordinates.
Fractional coordinates of all 5 atoms:
As  0.500  0.000  0.000  -0.10
As  0.000  0.500  0.000  -0.10
Na  0.000  0.000  0.000  0.00
Br  0.000  0.000  0.500  -0.01
Ru  0.500  0.500  0.500  2.47

CuHg2Br | PBE | optimized geometry

Summary:
size of the total moment: 0.00 μB/cell
energy relative to the elements, uncorrected: -0.07 eV/atom
space-group type: Pm
E: -1.662 eV per atom
distance to the lowest polymorph of the same formula: 0.024 eV/atom

a b c (Å): 3.751 5.197 6.321
angles (deg): 79.85 90.00 90.00
Fractional coordinates of all 4 atoms:
Hg  0.000  0.909  0.006
Hg  0.500  0.329  0.148
Br  0.000  0.585  0.564
Cu  0.500  0.677  0.781

CePm3Y6Ho2 | PBE | optimized geometry

Summary:
size of the total moment: 1.16 μB/cell
space-group type: C2/m
formation enthalpy at 0 K: 3.3 kJ per mole of atoms
E: -5.643 eV per atom

a b c (Å): 6.213 6.213 11.845
angles (deg): 95.01 95.01 119.98
Site moments in Bohr magnetons follow the coordinates.
Fractional coordinates of all 12 atoms:
Pm  0.832  0.168  0.500  -0.01
Pm  0.500  0.500  0.500  -0.01
Pm  0.168  0.832  0.500  -0.01
Y  0.586  0.917  0.753  0.02
Y  0.414  0.083  0.247  0.02
Y  0.083  0.414  0.247  0.02
Y  0.917  0.586  0.753  0.02
Y  0.751  0.751  0.247  0.01
Y  0.249  0.249  0.753  0.01
Ho  0.333  0.667  0.000  0.04
Ho  0.667  0.333  0.000  0.04
Ce  0.000  0.000  0.000  0.78

BaCaMg | PBE | optimized geometry

Summary:
size of the total moment: 0.00 μB/cell
space-group type: Imma
formation enthalpy at 0 K: -1.8 kJ per mole of atoms
E: -1.858 eV per atom
distance to the lowest polymorph of the same formula: 0.005 eV/atom

a b c (Å): 7.035 7.035 7.035
angles (deg): 93.65 119.70 116.16
Fractional coordinates of all 6 atoms:
Ca  0.500  0.000  0.000
Ca  0.000  0.500  0.000
Mg  0.000  0.500  0.500
Mg  0.500  0.500  0.000
Ba  0.250  0.136  0.386
Ba  0.750  0.864  0.614

Ce2IrBr2 | PBE | optimized geometry

Summary:
size of the total moment: 1.60 μB/cell
energy relative to the elements, uncorrected: -1.30 eV/atom
space-group type: C2/m
E: -6.116 eV per atom

a b c (Å): 4.092 4.093 11.389
angles (deg): 80.68 79.65 60.01
Site moments in Bohr magnetons follow the coordinates.
Fractional coordinates of all 5 atoms:
Ce  0.719  0.204  0.357  0.69
Ce  0.281  0.796  0.643  0.69
Br  0.450  0.918  0.181  -0.01
Br  0.550  0.082  0.819  -0.01
Ir  0.000  0.500  0.500  -0.06

Tb2Cu3Pt | PBE | optimized geometry

Summary:
size of the total moment: 0.00 μB/cell
space-group type: Pmm2
formation enthalpy at 0 K: -50.2 kJ per mole of atoms
E: -5.119 eV per atom
distance to the lowest polymorph of the same formula: 0.004 eV/atom

a b c (Å): 3.587 4.321 7.416
angles (deg): 90.00 90.00 90.00
Fractional coordinates of all 6 atoms:
Cu  0.500  0.000  0.154
Cu  0.500  0.500  0.680
Cu  0.500  0.000  0.829
Tb  0.000  0.000  0.493
Tb  0.000  0.500  0.009
Pt  0.500  0.500  0.336

Sr2ReAs | PBE | optimized geometry

Summary:
size of the total moment: 2.91 μB/cell
space-group type: C2/m
formation enthalpy at 0 K: 62.4 kJ per mole of atoms
E: -4.468 eV per atom

a b c (Å): 4.433 4.433 8.451
angles (deg): 81.88 81.88 44.36
Site moments in Bohr magnetons follow the coordinates.
Fractional coordinates of all 4 atoms:
Sr  0.503  0.503  0.488  0.00
Sr  0.997  0.997  0.012  0.00
Re  0.750  0.750  0.750  2.37
As  0.250  0.250  0.250  0.08

SrMgBi3 | PBE | optimized geometry

Summary:
size of the total moment: 0.00 μB/cell
space-group type: Pm-3m
formation enthalpy at 0 K: 62.3 kJ per mole of atoms
E: -2.338 eV per atom
distance to the lowest polymorph of the same formula: 1.031 eV/atom

a b c (Å): 6.083 6.083 6.083
angles (deg): 90.00 90.00 90.00
Fractional coordinates of all 5 atoms:
Sr  0.000  0.000  0.000
Mg  0.500  0.500  0.500
Bi  0.000  0.000  0.500
Bi  0.000  0.500  0.000
Bi  0.500  0.000  0.000

PmHo2ErSc4 | PBE | optimized geometry

Summary:
size of the total moment: 7.50 μB/cell
space-group type: C2/c
formation enthalpy at 0 K: 42.8 kJ per mole of atoms
E: -5.031 eV per atom

a b c (Å): 9.075 9.075 11.264
angles (deg): 128.36 128.36 88.39
Site moments in Bohr magnetons follow the coordinates.
Fractional coordinates of all 16 atoms:
Sc  0.748  0.750  0.998  0.36
Sc  0.750  0.752  0.502  0.36
Sc  0.750  0.249  0.999  0.35
Sc  0.251  0.750  0.501  0.35
Sc  0.749  0.250  0.499  0.35
Sc  0.250  0.751  0.001  0.35
Sc  0.250  0.248  0.498  0.36
Sc  0.252  0.250  0.002  0.36
Er  0.000  0.000  0.000  0.33
Er  0.500  0.500  0.500  0.33
Ho  0.000  0.000  0.500  0.33
Ho  0.500  0.000  0.500  0.29
Ho  0.500  0.500  0.000  0.33
Ho  0.500  0.000  0.000  0.29
Pm  0.000  0.500  0.500  0.28
Pm  0.000  0.500  0.000  0.28

Er2Zn5Ga | PBE | optimized geometry

Summary:
size of the total moment: 0.00 μB/cell
space-group type: Cmcm
formation enthalpy at 0 K: -36.9 kJ per mole of atoms
E: -2.698 eV per atom

a b c (Å): 4.281 8.188 8.810
angles (deg): 90.00 90.00 105.15
Fractional coordinates of all 16 atoms:
Zn  0.811  0.622  0.107
Zn  0.648  0.296  0.476
Zn  0.189  0.378  0.893
Zn  0.603  0.206  0.750
Zn  0.811  0.622  0.393
Zn  0.352  0.704  0.524
Zn  0.352  0.704  0.976
Zn  0.397  0.794  0.250
Zn  0.189  0.378  0.607
Zn  0.648  0.296  0.024
Ga  0.448  0.895  0.750
Ga  0.552  0.105  0.250
Er  0.198  0.396  0.250
Er  0.802  0.604  0.750
Er  0.000  0.000  0.500
Er  0.000  0.000  0.000

KPaAs2 | PBE | optimized geometry

Summary:
size of the total moment: 0.00 μB/cell
space-group type: R-3m
formation enthalpy at 0 K: -79.7 kJ per mole of atoms
E: -5.799 eV per atom
distance to the lowest polymorph of the same formula: 0.000 eV/atom

a b c (Å): 4.291 4.291 8.011
angles (deg): 74.46 74.46 60.00
Fractional coordinates of all 4 atoms:
As  0.729  0.729  0.812
As  0.271  0.271  0.188
K  0.500  0.500  0.500
Pa  0.000  0.000  0.000

TiOsPd3 | PBE | optimized geometry

Summary:
size of the total moment: 1.85 μB/cell
space-group type: Pm-3m
formation enthalpy at 0 K: 114.9 kJ per mole of atoms
E: -5.750 eV per atom
distance to the lowest polymorph of the same formula: 0.000 eV/atom

a b c (Å): 4.537 4.537 4.537
angles (deg): 90.00 90.00 90.00
Site moments in Bohr magnetons follow the coordinates.
Fractional coordinates of all 5 atoms:
Os  0.500  0.500  0.500  1.93
Ti  0.000  0.000  0.000  -0.16
Pd  0.500  0.000  0.000  0.08
Pd  0.000  0.500  0.000  -0.02
Pd  0.000  0.000  0.500  -0.03

AcDyPtAu | PBE | optimized geometry

Summary:
size of the total moment: 0.00 μB/cell
space-group type: F-43m
formation enthalpy at 0 K: -85.7 kJ per mole of atoms
E: -5.395 eV per atom

a b c (Å): 5.248 5.248 5.248
angles (deg): 60.00 60.00 60.00
Fractional coordinates of all 4 atoms:
Ac  0.500  0.500  0.500
Au  0.250  0.250  0.250
Pt  0.750  0.750  0.750
Dy  0.000  0.000  0.000

CaMg2Te | PBE | optimized geometry

Summary:
size of the total moment: 0.00 μB/cell
energy relative to the elements, uncorrected: -0.29 eV/atom
space-group type: F-43m
E: -2.372 eV per atom

a b c (Å): 5.453 5.453 5.453
angles (deg): 60.00 60.00 60.00
Fractional coordinates of all 4 atoms:
Mg  0.250  0.250  0.250
Mg  0.000  0.000  0.000
Te  0.750  0.750  0.750
Ca  0.500  0.500  0.500

PrLu3Pd | PBE | optimized geometry

Summary:
size of the total moment: 0.00 μB/cell
space-group type: Pm-3m
formation enthalpy at 0 K: -21.7 kJ per mole of atoms
E: -4.932 eV per atom

a b c (Å): 5.376 5.376 5.376
angles (deg): 90.00 90.00 90.00
Fractional coordinates of all 5 atoms:
Lu  0.500  0.000  0.000
Lu  0.000  0.500  0.000
Lu  0.000  0.000  0.500
Pr  0.500  0.500  0.500
Pd  0.000  0.000  0.000

BeAgN2F | PBE | optimized geometry

Summary:
size of the total moment: 1.54 μB/cell
energy relative to the elements, uncorrected: 0.53 eV/atom
space-group type: P4/mmm
E: -4.492 eV per atom
distance to the lowest polymorph of the same formula: 0.000 eV/atom

a b c (Å): 3.540 3.540 3.906
angles (deg): 90.00 90.00 90.00
Site moments in Bohr magnetons follow the coordinates.
Fractional coordinates of all 5 atoms:
F  0.000  0.000  0.500  0.13
N  0.500  0.000  0.000  0.46
N  0.000  0.500  0.000  0.46
Be  0.000  0.000  0.000  -0.01
Ag  0.500  0.500  0.500  0.17

Tb5Pm2NdTm | PBE | optimized geometry

Summary:
size of the total moment: 0.00 μB/cell
space-group type: I4/mcm
formation enthalpy at 0 K: 26.4 kJ per mole of atoms
E: -4.381 eV per atom

a b c (Å): 8.762 8.762 9.917
angles (deg): 116.22 116.22 90.00
Fractional coordinates of all 18 atoms:
Pm  0.883  0.617  0.000
Pm  0.383  0.883  0.000
Pm  0.117  0.383  0.000
Pm  0.617  0.117  0.000
Tm  0.750  0.250  0.500
Tm  0.250  0.750  0.500
Tb  0.572  0.653  0.725
Tb  0.500  0.500  0.000
Tb  0.428  0.347  0.275
Tb  0.153  0.072  0.725
Tb  0.347  0.847  0.275
Tb  0.653  0.153  0.725
Tb  0.000  0.000  0.000
Tb  0.072  0.572  0.725
Tb  0.928  0.428  0.275
Tb  0.847  0.928  0.275
Nd  0.750  0.750  0.500
Nd  0.250  0.250  0.500

Dy3Tl2Sn | PBE | optimized geometry

Summary:
size of the total moment: 0.00 μB/cell
space-group type: Cmmm
formation enthalpy at 0 K: -42.5 kJ per mole of atoms
E: -4.198 eV per atom

a b c (Å): 4.231 5.061 15.152
angles (deg): 90.00 90.00 90.00
Fractional coordinates of all 12 atoms:
Tl  0.000  0.000  0.670
Tl  0.000  0.000  0.330
Tl  0.000  0.500  0.830
Tl  0.000  0.500  0.170
Dy  0.500  0.500  0.663
Dy  0.500  0.000  0.500
Dy  0.500  0.500  0.337
Dy  0.500  0.500  0.000
Dy  0.500  0.000  0.163
Dy  0.500  0.000  0.837
Sn  0.000  0.500  0.500
Sn  0.000  0.000  0.000

Sr3Cu8Sn4 | PBE | optimized geometry

Summary:
size of the total moment: 0.00 μB/cell
space-group type: P6_3mc
formation enthalpy at 0 K: -26.0 kJ per mole of atoms
E: -3.858 eV per atom

a b c (Å): 9.370 9.370 7.947
angles (deg): 90.00 90.00 120.00
Fractional coordinates of all 30 atoms:
Sn  0.834  0.669  0.295
Sn  0.834  0.166  0.295
Sn  0.667  0.333  0.678
Sn  0.669  0.834  0.795
Sn  0.333  0.667  0.178
Sn  0.331  0.166  0.295
Sn  0.166  0.834  0.795
Sn  0.166  0.331  0.795
Sr  0.950  0.475  0.999
Sr  0.475  0.525  0.499
Sr  0.050  0.525  0.499
Sr  0.475  0.950  0.499
Sr  0.525  0.475  0.999
Sr  0.525  0.050  0.999
Cu  0.195  0.098  0.979
Cu  0.161  0.322  0.176
Cu  0.000  0.000  0.225
Cu  0.322  0.161  0.676
Cu  0.098  0.902  0.479
Cu  0.902  0.805  0.979
Cu  0.839  0.161  0.676
Cu  0.902  0.098  0.979
Cu  0.161  0.839  0.176
Cu  0.667  0.333  0.331
Cu  0.839  0.678  0.676
Cu  0.805  0.902  0.479
Cu  0.000  0.000  0.725
Cu  0.333  0.667  0.831
Cu  0.098  0.195  0.479
Cu  0.678  0.839  0.176

Co2TcBr | PBE | optimized geometry

Summary:
size of the total moment: 4.02 μB/cell
energy relative to the elements, uncorrected: 0.66 eV/atom
space-group type: R3m
E: -5.907 eV per atom
distance to the lowest polymorph of the same formula: 0.143 eV/atom

a b c (Å): 8.184 8.184 8.184
angles (deg): 20.45 20.45 20.45
Site moments in Bohr magnetons follow the coordinates.
Fractional coordinates of all 4 atoms:
Br  0.751  0.751  0.751  0.04
Co  0.253  0.253  0.253  1.81
Co  0.992  0.992  0.992  1.86
Tc  0.504  0.504  0.504  0.32

MgZn2Cl | PBE | optimized geometry

Summary:
size of the total moment: 0.00 μB/cell
energy relative to the elements, uncorrected: -0.08 eV/atom
space-group type: I-4m2
E: -1.573 eV per atom
distance to the lowest polymorph of the same formula: 0.319 eV/atom

a b c (Å): 5.450 5.450 5.450
angles (deg): 134.96 134.96 65.59
Fractional coordinates of all 4 atoms:
Mg  0.750  0.250  0.500
Cl  0.500  0.500  0.000
Zn  0.000  0.000  0.000
Zn  0.250  0.750  0.500